DFT (GGA-PBE) results for Tc2P2I after structural relaxation.

The energy above the most stable polymorph in this dataset is 0.00 eV per formula unit.

The space group is I4/mmm (No. 139) and the conventional cell measures 4.298, 4.298 and 9.098 Å, with angles of 90.00, 90.00 and 90.00 degrees. Symmetry generates all atoms from Tc at (0.000, 0.500, 0.250), P at (0.000, 0.000, 0.131) and I at (0.000, 0.000, 0.500).



DFT (GGA-PBE) results for TcPI3 after structural relaxation.

The energy above the most stable polymorph in this dataset is 0.00 eV per formula unit.

The space group is Pm-3m (No. 221) and the conventional cell measures 5.337, 5.337 and 5.337 Å, with angles of 90.00, 90.00 and 90.00 degrees. Symmetry generates all atoms from Tc at (0.000, 0.000, 0.000), P at (0.500, 0.500, 0.500) and I at (0.000, 0.000, 0.500).



DFT (GGA-PBE) results for TcP2I8 after structural relaxation.

The space group is P-1 (No. 2) and the conventional cell measures 5.951, 8.653 and 9.360 Å, with angles of 69.69, 84.95 and 85.40 degrees. Symmetry generates all atoms from Tc at (0.000, 0.000, 0.000), P at (0.245, 0.197, 0.839), I at (0.083, 0.115, 0.228), I at (0.141, 0.496, 0.795), I at (0.358, 0.769, 0.062) and I at (0.377, 0.202, 0.581).



Computed values of energy relative to the elements, uncorrected (unit: eV per atom) for the preceding records, in sequence: -0.0200, 0.9669, -0.0166.
Computed values of total energy (unit: eV/atom) for the preceding records, in sequence: -6.64, -3.12, -3.07.